No. 1
The following is a DFT calculation (PBE) of an optimized crystal structure of HfZn3Pd.

Its total energy is -20.20 eV/f.u. Its total moment is 0.00 μB per formula unit. The value obtained for the density is 9.43 g/cm3. The calculation puts the excess energy over the best structure of this formula in the dataset at 0 meV/atom. The space group is Cmmm (65).

a b c (Å): 13.201 13.201 3.009
angles (deg): 90.00 90.00 161.15
Positions (direct):
Hf1 0.174 0.826 0.000
Hf2 0.826 0.174 0.000
Zn1 0.065 0.935 0.500
Zn2 0.273 0.727 0.500
Zn3 0.454 0.546 0.000
Zn4 0.546 0.454 0.000
Zn5 0.727 0.273 0.500
Zn6 0.935 0.065 0.500
Pd1 0.372 0.628 0.500
Pd2 0.628 0.372 0.500

No. 2
The following is a DFT calculation (PBE) of an optimized crystal structure of Zn3Se.

Its total energy is -7.76 eV/f.u. Its total moment is 0.00 μB per formula unit. The value obtained for the density is 5.74 g/cm3. The calculation puts the excess energy over the best structure of this formula in the dataset at 53 meV/atom. The space group is P1 (1).

a b c (Å): 4.159 6.239 6.533
angles (deg): 86.75 81.48 71.73
Positions (direct):
Zn1 0.000 0.000 0.000
Zn2 0.000 0.177 0.596
Zn3 0.415 0.091 0.250
Zn4 0.439 0.196 0.840
Zn5 0.786 0.366 0.254
Zn6 0.804 0.779 0.664
Se1 0.052 0.582 0.968
Se2 0.406 0.725 0.446

No. 3
The following is a DFT calculation (PBE) of an optimized crystal structure of Rb2Tl12Sb.

Its total energy is -34.51 eV/f.u. Its total moment is 0.00 μB per formula unit. The value obtained for the density is 8.25 g/cm3. The space group is P4/nbm (125).

a b c (Å): 7.352 7.352 20.452
angles (deg): 90.00 90.00 90.00
Positions (direct):
Rb1 0.250 0.750 0.243
Rb2 0.250 0.750 0.757
Rb3 0.750 0.250 0.243
Rb4 0.750 0.250 0.757
Tl1 0.000 0.000 0.407
Tl2 0.000 0.000 0.593
Tl3 0.000 0.500 0.407
Tl4 0.000 0.500 0.593
Tl5 0.088 0.588 0.064
Tl6 0.088 0.912 0.936
Tl7 0.250 0.250 0.153
Tl8 0.250 0.250 0.311
Tl9 0.250 0.250 0.689
Tl10 0.250 0.250 0.847
Tl11 0.412 0.588 0.936
Tl12 0.412 0.912 0.064
Tl13 0.500 0.000 0.407
Tl14 0.500 0.000 0.593
Tl15 0.500 0.500 0.407
Tl16 0.500 0.500 0.593
Tl17 0.588 0.088 0.936
Tl18 0.588 0.412 0.064
Tl19 0.750 0.750 0.153
Tl20 0.750 0.750 0.311
Tl21 0.750 0.750 0.689
Tl22 0.750 0.750 0.847
Tl23 0.912 0.088 0.064
Tl24 0.912 0.412 0.936
Sb1 0.250 0.750 0.500
Sb2 0.750 0.250 0.500